The following is a DFT calculation (GGA-PBE) of a relaxed structure of TaFe2Si.

POSCAR file:
```
TaFe2Si
1.0
2.871 0.000 0.000
0.000 3.132 0.000
0.000 0.000 5.574
Ta Fe Si
1 2 1
direct
0.000 0.000 0.000
0.500 0.500 0.270
0.500 0.500 0.730
0.000 0.000 0.500
```

Output
uncorrected formation energy	-1.20	eV per formula unit
D(E_F)	2.93	states/eV/cell
space group	Pmmm (47)